Er2CdBi | PBE | optimized geometry

Output
N(E_F)	20.677	states/eV per cell
energy above the lowest structure with this stoichiometry	68	meV per atom
crystal system	cubic
calculated formation energy	-145	kJ/mol of formula units
total DFT energy (no corrections)	-61.70	eV/cell

Lattice parameters (Å, degrees): 7.5919 7.5919 7.5919 90.00 90.00 90.00
Last column: nearest neighbours and their distance in Å.
Space group Fm-3m (No. 225)
Symmetry-distinct sites (fractional):
1 Er 0.2500 0.2500 0.2500 x8  4 Cd 3.29, 4 Bi 3.29
2 Cd 0.0000 0.0000 0.0000 x4  8 Er 3.29
3 Bi 0.0000 0.0000 0.5000 x4  8 Er 3.29

YCdHgPb | PBE | optimized geometry

Output
N(E_F)	13.371	states/eV per cell
energy above the lowest structure with this stoichiometry	141	meV per atom
crystal system	cubic
calculated formation energy	-83	kJ/mol of formula units
total DFT energy (no corrections)	-48.98	eV/cell

Lattice parameters (Å, degrees): 7.4589 7.4589 7.4589 90.00 90.00 90.00
Last column: nearest neighbours and their distance in Å.
Space group F-43m (No. 216)
Symmetry-distinct sites (fractional):
1 Y 0.0000 0.0000 0.0000 x4  4 Hg 3.23, 4 Pb 3.23
2 Cd 0.0000 0.0000 0.5000 x4  4 Hg 3.23, 4 Pb 3.23
3 Hg 0.2500 0.2500 0.2500 x4  4 Cd 3.23, 4 Y 3.23
4 Pb 0.2500 0.2500 0.7500 x4  4 Cd 3.23, 4 Y 3.23

LaAl2Cu2 | PBE | optimized geometry

Output
N(E_F)	6.387	states/eV per cell
crystal system	tetragonal
calculated formation energy	-54	kJ/mol of formula units
total DFT energy (no corrections)	-42.33	eV/cell

Lattice parameters (Å, degrees): 7.9494 7.9494 2.7990 90.00 90.00 90.00
Last column: nearest neighbours and their distance in Å.
Space group P4/mbm (No. 127)
Symmetry-distinct sites (fractional):
1 La 0.0000 0.0000 0.0000 x2  2 La 2.80, 4 Al 3.13
2 Al 0.1266 0.3734 0.0000 x4  6 Cu 2.69-2.77, 3 Al 2.80-2.85
3 Cu 0.1611 0.6611 0.5000 x4  6 Al 2.69-2.77, 2 Cu 2.80

Na3AuO | PBE | optimized geometry

Output
N(E_F)	0.354	states/eV per cell
energy above the lowest structure with this stoichiometry	49	meV per atom
crystal system	monoclinic
formation energy (no corrections)	-0.789	eV/atom
total DFT energy (no corrections)	-64.55	eV/cell

Lattice parameters (Å, degrees): 11.8310 4.5191 8.4490 90.00 111.60 90.00
Last column: nearest neighbours and their distance in Å.
Space group C2/m (No. 12)
Symmetry-distinct sites (fractional):
1 Na 0.0835 0.0000 0.1744 x4  2 O 2.28-2.30
2 Na 0.1171 0.0000 0.6632 x4  1 O 2.21
3 Na 0.1638 0.5000 0.9472 x4  3 O 2.30-2.34
4 Au 0.1649 0.5000 0.4541 x4  2 Au 2.93, 5 Na 3.05-3.15
5 O 0.1241 0.0000 0.9287 x4  6 Na 2.21-2.34